No. 1
# PBE Ac4DyCd5, relaxed
data_Ac4DyCd5
_cell_length_a 4.005
_cell_length_b 4.005
_cell_length_c 20.227
_cell_angle_alpha 90.00
_cell_angle_beta 90.00
_cell_angle_gamma 90.00
_symmetry_space_group_name_H-M 'P 4/m m m'
_symmetry_Int_Tables_number 123
_symmetry_space_group_name_Hall '-P 4 2'
loop_
_atom_site_label
_atom_site_type_symbol
_atom_site_fract_x
_atom_site_fract_y
_atom_site_fract_z
_atom_site_occupancy
Ac1 Ac 0.000 0.000 0.104 1
Ac2 Ac 0.000 0.000 0.311 1
Dy1 Dy 0.000 0.000 0.500 1
Cd1 Cd 0.500 0.500 0.000 1
Cd2 Cd 0.500 0.500 0.207 1
Cd3 Cd 0.500 0.500 0.419 1
# DOS at the Fermi energy ... 13.01 states/eV/cell
# Formation energy ... -0.29 eV/atom
# Crystal system ... tetragonal


No. 2
# PBE Ac2Dy2Cd15, relaxed
data_Ac2Dy2Cd15
_cell_length_a 10.2480
_cell_length_b 10.2480
_cell_length_c 15.9743
_cell_angle_alpha 90.00
_cell_angle_beta 90.00
_cell_angle_gamma 120.00
_symmetry_space_group_name_H-M 'R -3 m'
_symmetry_Int_Tables_number 166
_symmetry_space_group_name_Hall '-R 3 2"'
loop_
_atom_site_label
_atom_site_type_symbol
_atom_site_fract_x
_atom_site_fract_y
_atom_site_fract_z
_atom_site_occupancy
Ac1 Ac 0.0000 0.0000 0.1647 1
Dy1 Dy 0.0000 0.0000 0.4021 1
Cd1 Cd 0.0000 0.2902 0.5000 1
Cd2 Cd 0.0000 0.5000 0.0000 1
Cd3 Cd 0.0095 0.5048 0.6405 1
# DOS at the Fermi energy ... 36.44 states/eV/cell
# Formation energy ... -0.18 eV/atom
# Crystal system ... trigonal


No. 3
# PBE Ac2DyCd2, relaxed
data_Ac2DyCd2
_cell_length_a 4.119
_cell_length_b 7.609
_cell_length_c 11.020
_cell_angle_alpha 90.00
_cell_angle_beta 90.00
_cell_angle_gamma 90.00
_symmetry_space_group_name_H-M 'I m m m'
_symmetry_Int_Tables_number 71
_symmetry_space_group_name_Hall '-I 2 2'
loop_
_atom_site_label
_atom_site_type_symbol
_atom_site_fract_x
_atom_site_fract_y
_atom_site_fract_z
_atom_site_occupancy
Ac1 Ac 0.000 0.000 0.218 1
Dy1 Dy 0.000 0.500 0.000 1
Cd1 Cd 0.000 0.303 0.500 1
# DOS at the Fermi energy ... 10.81 states/eV/cell
# Formation energy ... -0.14 eV/atom
# Crystal system ... orthorhombic
# Energy relative to the lowest polymorph listed for this composition ... 15 meV/atom


No. 4
# PBE Ac2DyCd4, relaxed
data_Ac2DyCd4
_cell_length_a 5.566
_cell_length_b 5.566
_cell_length_c 14.668
_cell_angle_alpha 90.00
_cell_angle_beta 90.00
_cell_angle_gamma 90.00
_symmetry_space_group_name_H-M 'I 4/m m m'
_symmetry_Int_Tables_number 139
_symmetry_space_group_name_Hall '-I 4 2'
loop_
_atom_site_label
_atom_site_type_symbol
_atom_site_fract_x
_atom_site_fract_y
_atom_site_fract_z
_atom_site_occupancy
Ac1 Ac 0.000 0.000 0.236 1
Dy1 Dy 0.000 0.000 0.500 1
Cd1 Cd 0.000 0.500 0.103 1
# DOS at the Fermi energy ... 11.52 states/eV/cell
# Formation energy ... -0.16 eV/atom
# Crystal system ... tetragonal